A geometry-optimized RbReNi structure. Source: the Alexandria database, functional GGA-PBE.

Cell: 3.865 3.660 12.385 Å, 90.40 90.69 90.00°
Fractional coordinates of all 6 atoms:
Rb  0.762  0.214  0.403
Re  0.759  0.205  0.024
Ni  0.264  0.205  0.158
Re  0.763  0.707  0.150
Rb  0.262  0.738  0.771
Ni  0.259  0.702  0.021

Results
Formation enthalpy at 0 K: 601.8 meV per atom
Relative energy among the computed polymorphs: 0.0689 eV/atom
DOS(E_F): 6.2 states/eV per cell
Space-group type: No. 1